A geometry-optimized MgV2O4 structure. Source: Alexandria via LeMat-Bulk, functional PBE+U.

Properties
DFT total energy = -7.4269 eV/atom
Volume = 11.208 Å³ per atom
Theoretical density = 4025 kg/m³
Distance to the lowest polymorph of the same formula = 0.0170 eV per atom

```
data_MgV2O4
_chemical_formula_sum 'Mg16 V32 O64'
_space_group_name_H-M_alt 'C 1 m 1'
_space_group_IT_number 8
_cell_length_a 10.459
_cell_length_b 6.077
_cell_length_c 20.067
_cell_angle_alpha 90.00
_cell_angle_beta 100.24
_cell_angle_gamma 90.00
loop_
_space_group_symop_operation_xyz
'x,y,z'
'x,-y,z'
'x+1/2,y+1/2,z'
'x+1/2,-y+1/2,z'
loop_
_atom_site_label
_atom_site_fract_x
_atom_site_fract_y
_atom_site_fract_z
Mg1 0.000 0.000 0.000
Mg2 0.000 0.500 0.499
Mg3 0.028 0.000 0.592
Mg4 0.125 0.500 0.374
Mg5 0.247 0.000 0.748
Mg6 0.250 0.500 0.249
Mg7 0.278 0.500 0.844
Mg8 0.377 0.500 0.125
V1 0.001 0.246 0.749
V2 0.001 0.250 0.250
V3 0.029 0.500 0.093
V4 0.126 0.000 0.872
V5 0.222 0.500 0.655
V6 0.224 0.000 0.157
V7 0.251 0.249 0.498
V8 0.252 0.252 0.000
V9 0.277 0.000 0.341
V10 0.374 0.000 0.621
V11 0.473 0.000 0.904
V12 0.474 0.500 0.407
O1 0.053 0.500 0.687
O2 0.058 0.000 0.190
O3 0.060 0.000 0.693
O4 0.061 0.500 0.192
O5 0.072 0.262 0.440
O6 0.073 0.235 0.938
O7 0.176 0.232 0.810
O8 0.179 0.262 0.308
O9 0.189 0.000 0.056
O10 0.190 0.500 0.555
O11 0.194 0.500 0.059
O12 0.200 0.000 0.560
O13 0.307 0.000 0.939
O14 0.307 0.500 0.439
O15 0.309 0.000 0.440
O16 0.313 0.500 0.945
O17 0.320 0.236 0.688
O18 0.322 0.262 0.190
O19 0.427 0.232 0.558
O20 0.430 0.260 0.059
O21 0.438 0.000 0.806
O22 0.440 0.500 0.307
O23 0.444 0.000 0.309
O24 0.447 0.500 0.809
```